No. 1
Here is a relaxed structure of NpTlS2Cl from the Alexandria database. Energies are from PBE.

Values from the calculation:
- E_form (uncorrected) (eV per atom) = -1.155
- total magnetic moment (μB/f.u.) = 3.000
- final energy (eV/atom) = -6.24

Cell: 8.649 3.989 8.951 Å, 90.00 103.92 90.00°
Space group P2_1/m (No. 11)
Unique sites:
Np (0.168, 0.250, 0.160)
Tl (0.326, 0.750, 0.764)
S (0.046, 0.250, 0.851)
S (0.362, 0.750, 0.132)
Cl (0.247, 0.250, 0.458)

***

No. 2
Here is a relaxed structure of NpScTlCl6 from the Alexandria database. Energies are from PBE.

Values from the calculation:
- E_form (uncorrected) (eV per atom) = -1.655
- total magnetic moment (μB/f.u.) = 5.002
- final energy (eV/atom) = -5.29

Cell: 6.8977 6.8977 14.3308 Å, 90.00 90.00 120.00°
Space group P-31c (No. 163)
Unique sites:
Np (0.3333, 0.6667, 0.2500)
Sc (0.3333, 0.6667, 0.7500)
Tl (0.0000, 0.0000, 0.0000)
Cl (0.0244, 0.3754, 0.6449)

***

No. 3
Here is a relaxed structure of NpSeCl from the Alexandria database. Energies are from PBE.

Values from the calculation:
- E_form (uncorrected) (eV per atom) = -1.407
- total magnetic moment (μB/f.u.) = 4.000
- final energy (eV/atom) = -7.50

Cell: 4.139 5.671 8.210 Å, 90.00 90.00 90.00°
Space group Pmmn (No. 59, origin choice 2)
Unique sites:
Np (0.250, 0.250, 0.147)
Se (0.250, 0.750, 0.101)
Cl (0.250, 0.750, 0.636)

***

No. 4
Here is a relaxed structure of NpSe2Cl5 from the Alexandria database. Energies are from PBE.

Values from the calculation:
- E_form (uncorrected) (eV per atom) = -0.940
- total magnetic moment (μB/f.u.) = 2.609
- final energy (eV/atom) = -4.58

Cell: 10.913 11.499 5.241 Å, 90.00 90.00 90.00°
Space group Imm2 (No. 44)
Unique sites:
Np (0.000, 0.000, 0.000)
Se (0.000, 0.500, 0.201)
Se (0.000, 0.500, 0.782)
Cl (0.000, 0.000, 0.500)
Cl (0.162, 0.153, 0.000)

***

No. 5
Here is a relaxed structure of Np3SeCl7 from the Alexandria database. Energies are from PBE.

Values from the calculation:
- E_form (uncorrected) (eV per atom) = -1.592
- total magnetic moment (μB/f.u.) = 12.000
- final energy (eV/atom) = -6.61

Cell: 8.3319 8.3319 6.6137 Å, 90.00 90.00 120.00°
Space group P3m1 (No. 156)
Unique sites:
Np (0.1693, 0.3386, 0.0000)
Se (0.3333, 0.6667, 0.2355)
Cl (0.0000, 0.0000, 0.7717)
Cl (0.0191, 0.5096, 0.7823)
Cl (0.3082, 0.1541, 0.2133)

***

No. 6
Here is a relaxed structure of NpSeCl from the Alexandria database. Energies are from PBE.

Values from the calculation:
- E_form (uncorrected) (eV per atom) = -1.104
- total magnetic moment (μB/f.u.) = 4.000
- final energy (eV/atom) = -7.19

Cell: 4.6325 4.6325 3.8670 Å, 90.00 90.00 120.00°
Space group P3m1 (No. 156)
Unique sites:
Np (0.0000, 0.0000, 0.0000)
Se (0.6667, 0.3333, 0.5160)
Cl (0.3333, 0.6667, 0.0262)

***

No. 7
Here is a relaxed structure of Np2Se2Cl from the Alexandria database. Energies are from PBE.

Values from the calculation:
- E_form (uncorrected) (eV per atom) = -1.153
- total magnetic moment (μB/f.u.) = 8.994
- final energy (eV/atom) = -8.09

Cell: 4.100 5.724 12.211 Å, 90.00 90.00 90.00°
Space group Immm (No. 71)
Unique sites:
Np (0.000, 0.000, 0.164)
Se (0.000, 0.500, 0.172)
Cl (0.000, 0.500, 0.500)

***

No. 8
Here is a relaxed structure of NpSeCl from the Alexandria database. Energies are from PBE.

Values from the calculation:
- E_form (uncorrected) (eV per atom) = -0.954
- total magnetic moment (μB/f.u.) = 0.000
- final energy (eV/atom) = -7.04

Cell: 4.083 18.927 4.049 Å, 90.00 90.00 90.00°
Space group Cmcm (No. 63)
Unique sites:
Np (0.000, 0.039, 0.250)
Se (0.000, 0.425, 0.250)
Cl (0.000, 0.172, 0.250)

***

No. 9
Here is a relaxed structure of NpSe2Cl4 from the Alexandria database. Energies are from PBE.

Values from the calculation:
- E_form (uncorrected) (eV per atom) = -1.077
- total magnetic moment (μB/f.u.) = 3.148
- final energy (eV/atom) = -4.98

Cell: 18.392 4.060 7.321 Å, 90.00 94.61 90.00°
Space group C2/m (No. 12)
Unique sites:
Np (0.000, 0.000, 0.000)
Se (0.245, 0.500, 0.584)
Cl (0.031, 0.500, 0.239)
Cl (0.131, 0.000, 0.920)

***

No. 10
Here is a relaxed structure of NpSeCl2 from the Alexandria database. Energies are from PBE.

Values from the calculation:
- E_form (uncorrected) (eV per atom) = -1.331
- total magnetic moment (μB/f.u.) = 3.000
- final energy (eV/atom) = -6.36

Cell: 3.845 13.613 8.678 Å, 90.00 90.00 90.00°
Space group Cmcm (No. 63)
Unique sites:
Np (0.000, 0.232, 0.250)
Se (0.000, 0.409, 0.750)
Cl (0.000, 0.163, 0.572)

***

No. 11
Here is a relaxed structure of Np4Se6Cl from the Alexandria database. Energies are from PBE.

Values from the calculation:
- E_form (uncorrected) (eV per atom) = -1.089
- total magnetic moment (μB/f.u.) = 15.002
- final energy (eV/atom) = -7.86

Cell: 8.8675 8.8675 3.9510 Å, 90.00 90.00 120.00°
Space group P-6m2 (No. 187)
Unique sites:
Np (0.0000, 0.0000, 0.0000)
Np (0.0247, 0.5123, 0.5000)
Se (0.2063, 0.4126, 0.0000)
Se (0.2791, 0.1395, 0.5000)
Cl (0.6667, 0.3333, 0.0000)

***

No. 12
Here is a relaxed structure of NpSeCl from the Alexandria database. Energies are from PBE.

Values from the calculation:
- E_form (uncorrected) (eV per atom) = -1.177
- total magnetic moment (μB/f.u.) = 4.000
- final energy (eV/atom) = -7.27

Cell: 5.159 13.385 5.908 Å, 90.00 90.00 90.00°
Space group Cmcm (No. 63)
Unique sites:
Np (0.000, 0.168, 0.250)
Se (0.000, 0.245, 0.750)
Cl (0.000, 0.000, 0.000)

***

No. 13
Here is a relaxed structure of NpSeCl from the Alexandria database. Energies are from PBE.

Values from the calculation:
- E_form (uncorrected) (eV per atom) = -1.317
- total magnetic moment (μB/f.u.) = 4.000
- final energy (eV/atom) = -7.41

Cell: 6.844 6.844 6.844 Å, 90.00 90.00 90.00°
Space group F-43m (No. 216)
Unique sites:
Np (0.000, 0.000, 0.000)
Se (0.250, 0.250, 0.250)
Cl (0.250, 0.250, 0.750)

***

No. 14
Here is a relaxed structure of NpSe2Cl8 from the Alexandria database. Energies are from PBE.

Values from the calculation:
- E_form (uncorrected) (eV per atom) = -0.757
- total magnetic moment (μB/f.u.) = 3.000
- final energy (eV/atom) = -3.91

Cell: 13.398 8.333 7.870 Å, 90.00 104.68 90.00°
Space group C2/m (No. 12)
Unique sites:
Np (0.000, 0.000, 0.000)
Se (0.165, 0.000, 0.504)
Cl (0.056, 0.211, 0.811)
Cl (0.181, 0.500, 0.330)
Cl (0.199, 0.000, 0.235)

***

No. 15
Here is a relaxed structure of NpSeCl from the Alexandria database. Energies are from PBE.

Values from the calculation:
- E_form (uncorrected) (eV per atom) = -1.203
- total magnetic moment (μB/f.u.) = 3.988
- final energy (eV/atom) = -7.29

Cell: 3.510 3.510 13.451 Å, 90.00 90.00 90.00°
Space group I4mm (No. 107)
Unique sites:
Np (0.000, 0.000, 0.000)
Se (0.000, 0.000, 0.385)
Cl (0.000, 0.000, 0.628)

***

No. 16
Here is a relaxed structure of NpSe6Cl12 from the Alexandria database. Energies are from PBE.

Values from the calculation:
- E_form (uncorrected) (eV per atom) = -0.489
- total magnetic moment (μB/f.u.) = 1.436
- final energy (eV/atom) = -3.44

Cell: 11.5035 11.5035 20.4486 Å, 90.00 90.00 120.00°
Space group R-3 (No. 148, hexagonal axes)
Unique sites:
Np (0.0000, 0.0000, 0.0000)
Se (0.0124, 0.1325, 0.3183)
Cl (0.0158, 0.8319, 0.9299)
Cl (0.0288, 0.5123, 0.9154)

***

No. 17
Here is a relaxed structure of NpSeCl3 from the Alexandria database. Energies are from PBE.

Values from the calculation:
- E_form (uncorrected) (eV per atom) = -1.340
- total magnetic moment (μB/f.u.) = 3.000
- final energy (eV/atom) = -5.73

Cell: 7.085 7.387 14.005 Å, 90.00 97.53 90.00°
Space group P2/c (No. 13)
Unique sites:
Np (0.081, 0.116, 0.134)
Se (0.153, 0.391, 0.291)
Cl (0.131, 0.193, 0.536)
Cl (0.224, 0.058, 0.799)
Cl (0.370, 0.258, 0.078)

***

No. 18
Here is a relaxed structure of NpSeCl3 from the Alexandria database. Energies are from PBE.

Values from the calculation:
- E_form (uncorrected) (eV per atom) = -1.341
- total magnetic moment (μB/f.u.) = 3.000
- final energy (eV/atom) = -5.73

Cell: 7.209 14.453 14.061 Å, 90.00 94.96 90.00°
Space group C2/c (No. 15)
Unique sites:
Np (0.082, 0.056, 0.133)
Se (0.150, 0.197, 0.287)
Cl (0.118, 0.102, 0.532)
Cl (0.124, 0.378, 0.924)
Cl (0.219, 0.032, 0.795)

***

No. 19
Here is a relaxed structure of NpTlSe2Cl from the Alexandria database. Energies are from PBE.

Values from the calculation:
- E_form (uncorrected) (eV per atom) = -1.057
- total magnetic moment (μB/f.u.) = 3.000
- final energy (eV/atom) = -5.88

Cell: 8.995 4.139 9.060 Å, 90.00 104.45 90.00°
Space group P2_1/m (No. 11)
Unique sites:
Np (0.171, 0.250, 0.166)
Tl (0.324, 0.750, 0.764)
Se (0.049, 0.250, 0.842)
Se (0.370, 0.750, 0.136)
Cl (0.250, 0.250, 0.459)

***

No. 20
Here is a relaxed structure of SmNpCl6 from the Alexandria database. Energies are from PBE.

Values from the calculation:
- E_form (uncorrected) (eV per atom) = -1.965
- total magnetic moment (μB/f.u.) = 4.000
- final energy (eV/atom) = -5.56

Cell: 6.920 12.334 6.774 Å, 90.00 105.52 90.00°
Space group C2/m (No. 12)
Unique sites:
Sm (0.000, 0.000, 0.000)
Np (0.000, 0.500, 0.500)
Cl (0.244, 0.000, 0.746)
Cl (0.248, 0.145, 0.248)

***

No. 21
Here is a relaxed structure of NpSn2Cl8 from the Alexandria database. Energies are from PBE.

Values from the calculation:
- E_form (uncorrected) (eV per atom) = -1.267
- total magnetic moment (μB/f.u.) = 3.000
- final energy (eV/atom) = -4.51

Cell: 11.925 9.153 6.736 Å, 90.00 109.15 90.00°
Space group C2/m (No. 12)
Unique sites:
Np (0.000, 0.000, 0.000)
Sn (0.166, 0.500, 0.466)
Cl (0.075, 0.500, 0.767)
Cl (0.127, 0.000, 0.763)
Cl (0.147, 0.193, 0.251)

***

No. 22
Here is a relaxed structure of Np2SnCl8 from the Alexandria database. Energies are from PBE.

Values from the calculation:
- E_form (uncorrected) (eV per atom) = -1.504
- total magnetic moment (μB/f.u.) = 8.000
- final energy (eV/atom) = -5.56

Cell: 21.609 4.016 7.872 Å, 90.00 96.78 90.00°
Space group C2/m (No. 12)
Unique sites:
Np (0.159, 0.000, 0.346)
Sn (0.000, 0.500, 0.000)
Cl (0.022, 0.000, 0.254)
Cl (0.117, 0.500, 0.538)
Cl (0.134, 0.500, 0.078)
Cl (0.244, 0.000, 0.666)